# 1
DFT (GGA-PBE) results for Tl12Hg6Au after structural relaxation.

- crystal system = trigonal

abc: 11.5274 11.5274 14.5266
angles: 90.00 90.00 120.00
Space group R-3 (No. 148, hexagonal axes)
Unique sites:
Tl: 0.0391 0.1847 0.3132
Tl: 0.0643 0.8450 0.9131
Hg: 0.0366 0.4452 0.2052
Au: 0.0000 0.0000 0.5000



# 2
DFT (GGA-PBE) results for Tl4HgAu3 after structural relaxation.

- crystal system = orthorhombic

abc: 4.0898 4.5218 11.2563
angles: 90.00 90.00 90.00
Space group Pmm2 (No. 25)
Unique sites:
Tl: 0.0000 0.0000 0.0000
Tl: 0.0000 0.5000 0.2773
Tl: 0.5000 0.0000 0.4774
Tl: 0.5000 0.5000 0.7897
Hg: 0.0000 0.0000 0.7117
Au: 0.0000 0.5000 0.5432
Au: 0.5000 0.0000 0.2158
Au: 0.5000 0.5000 0.0539



# 3
DFT (GGA-PBE) results for Tl4Hg3Au after structural relaxation.

- crystal system = orthorhombic

abc: 3.8377 5.0273 11.7399
angles: 90.00 90.00 90.00
Space group Pmm2 (No. 25)
Unique sites:
Tl: 0.0000 0.0000 0.0000
Tl: 0.0000 0.5000 0.2817
Tl: 0.5000 0.0000 0.4683
Tl: 0.5000 0.5000 0.7901
Hg: 0.0000 0.0000 0.7188
Hg: 0.0000 0.5000 0.5522
Hg: 0.5000 0.5000 0.0564
Au: 0.5000 0.0000 0.2158



# 4
DFT (GGA-PBE) results for Tl5HgAu4 after structural relaxation.

- crystal system = monoclinic

abc: 18.1830 4.6051 7.1090
angles: 90.00 111.75 90.00
Space group C2/m (No. 12)
Unique sites:
Tl: 0.0000 0.0000 0.0000
Tl: 0.1490 0.5000 0.7393
Tl: 0.2039 0.5000 0.2442
Hg: 0.0000 0.0000 0.5000
Au: 0.0274 0.5000 0.2742
Au: 0.1432 0.0000 0.4060



# 5
DFT (GGA-PBE) results for Tl8Hg2Au after structural relaxation.

- crystal system = monoclinic

abc: 18.6790 5.5928 6.7323
angles: 90.00 111.07 90.00
Space group C2/m (No. 12)
Unique sites:
Tl: 0.0070 0.0000 0.2677
Tl: 0.0917 0.5000 0.9664
Tl: 0.1568 0.5000 0.5042
Tl: 0.2074 0.0000 0.8050
Hg: 0.1683 0.0000 0.2272
Au: 0.0000 0.5000 0.5000



# 6
DFT (GGA-PBE) results for Tl16Hg6Au7 after structural relaxation.

- crystal system = cubic

abc: 14.7447 14.7447 14.7447
angles: 90.00 90.00 90.00
Space group Fm-3m (No. 225)
Unique sites:
Tl: 0.1188 0.1188 0.1188
Tl: 0.1545 0.1545 0.3455
Hg: 0.0000 0.0000 0.3179
Au: 0.0000 0.0000 0.0000
Au: 0.0000 0.2500 0.2500



# 7
DFT (GGA-PBE) results for Tl3Hg3Au after structural relaxation.

- crystal system = monoclinic

abc: 8.6629 14.4492 7.0792
angles: 90.00 110.13 90.00
Space group C2/m (No. 12)
Unique sites:
Tl: 0.0000 0.1285 0.0000
Tl: 0.0000 0.2801 0.5000
Tl: 0.0443 0.5000 0.7577
Hg: 0.1593 0.0000 0.4127
Hg: 0.1863 0.3119 0.1831
Au: 0.2021 0.0000 0.8373



# 8
DFT (GGA-PBE) results for Tl4Hg2Au3 after structural relaxation.

- crystal system = monoclinic

abc: 18.1919 3.5759 7.5821
angles: 90.00 103.77 90.00
Space group C2/m (No. 12)
Unique sites:
Tl: 0.0942 0.0000 0.3805
Tl: 0.2500 0.0000 0.7405
Hg: 0.1289 0.0000 0.9703
Au: 0.0000 0.5000 0.0000
Au: 0.0473 0.5000 0.6764



# 9
DFT (GGA-PBE) results for Tl2HgAu2 after structural relaxation.

- crystal system = orthorhombic

abc: 4.3090 6.6197 8.9920
angles: 90.00 90.00 90.00
Space group Immm (No. 71)
Unique sites:
Tl: 0.0000 0.0000 0.2080
Hg: 0.0000 0.5000 0.0000
Au: 0.0000 0.2891 0.5000



# 10
DFT (GGA-PBE) results for Tl4Hg2Au after structural relaxation.

- crystal system = orthorhombic

abc: 9.5634 11.1974 4.0224
angles: 90.00 90.00 90.00
Space group Pbam (No. 55)
Unique sites:
Tl: 0.1428 0.2277 0.0000
Tl: 0.2045 0.9285 0.5000
Hg: 0.0786 0.6379 0.5000
Au: 0.0000 0.0000 0.0000



# 11
DFT (GGA-PBE) results for Tl5Hg2Au3 after structural relaxation.

- crystal system = orthorhombic

abc: 4.4805 32.1627 7.5469
angles: 90.00 90.00 90.00
Space group Cmc2_1 (No. 36)
Unique sites:
Tl: 0.0000 0.0445 0.0000
Tl: 0.0000 0.1276 0.3791
Tl: 0.0000 0.2949 0.1672
Tl: 0.0000 0.2953 0.6552
Tl: 0.0000 0.4039 0.2131
Hg: 0.0000 0.1576 0.9117
Hg: 0.0000 0.4738 0.8243
Au: 0.0000 0.0445 0.5813
Au: 0.0000 0.2207 0.4098
Au: 0.0000 0.3927 0.6219



# 12
DFT (GGA-PBE) results for Tl5Hg4Au4 after structural relaxation.

- crystal system = tetragonal

abc: 12.1326 12.1326 4.5606
angles: 90.00 90.00 90.00
Space group I4/m (No. 87)
Unique sites:
Tl: 0.0000 0.0000 0.0000
Tl: 0.1223 0.1967 0.5000
Hg: 0.0932 0.6033 0.5000
Au: 0.0833 0.7584 0.0000



# 13
DFT (GGA-PBE) results for Tl8Hg2Au after structural relaxation.

- crystal system = monoclinic

abc: 19.3147 4.9653 6.8106
angles: 90.00 94.98 90.00
Space group C2/m (No. 12)
Unique sites:
Tl: 0.0279 0.0000 0.2570
Tl: 0.0890 0.5000 0.9163
Tl: 0.1511 0.5000 0.4127
Tl: 0.2194 0.0000 0.1646
Hg: 0.1670 0.0000 0.6996
Au: 0.0000 0.5000 0.5000



# 14
DFT (GGA-PBE) results for Tl3Hg2Au2 after structural relaxation.

- crystal system = orthorhombic

abc: 3.6498 5.1319 19.8943
angles: 90.00 90.00 90.00
Space group Immm (No. 71)
Unique sites:
Tl: 0.0000 0.0000 0.0000
Tl: 0.0000 0.5000 0.1939
Hg: 0.0000 0.5000 0.3575
Au: 0.0000 0.0000 0.4310



# 15
DFT (GGA-PBE) results for Tl6HgAu after structural relaxation.

- crystal system = orthorhombic

abc: 4.7178 9.0080 10.9298
angles: 90.00 90.00 90.00
Space group Amm2 (No. 38)
Unique sites:
Tl: 0.0000 0.0000 0.0000
Tl: 0.0000 0.1979 0.2778
Tl: 0.5000 0.0000 0.7751
Tl: 0.5000 0.2281 0.5135
Hg: 0.0000 0.0000 0.5575
Au: 0.5000 0.0000 0.2016



# 16
DFT (GGA-PBE) results for Tl2HgAu2 after structural relaxation.

- crystal system = tetragonal

abc: 3.9321 3.9321 17.3882
angles: 90.00 90.00 90.00
Space group I4/mmm (No. 139)
Unique sites:
Tl: 0.0000 0.0000 0.1117
Hg: 0.0000 0.0000 0.5000
Au: 0.0000 0.5000 0.2500



# 17
DFT (GGA-PBE) results for Tl3Hg4Au4 after structural relaxation.

- crystal system = orthorhombic

abc: 4.1499 8.1916 16.3428
angles: 90.00 90.00 90.00
Space group Immm (No. 71)
Unique sites:
Tl: 0.0000 0.0000 0.0000
Tl: 0.0000 0.5000 0.1116
Hg: 0.0000 0.3086 0.3369
Au: 0.0000 0.0000 0.2433
Au: 0.0000 0.1894 0.5000



# 18
DFT (GGA-PBE) results for Tl2Hg5Au4 after structural relaxation.

- crystal system = monoclinic

abc: 12.9563 5.9083 9.5094
angles: 90.00 132.12 90.00
Space group C2/m (No. 12)
Unique sites:
Tl: 0.0451 0.0000 0.2398
Hg: 0.0000 0.5000 0.0000
Hg: 0.1721 0.2463 0.6732
Au: 0.0868 0.5000 0.3564
Au: 0.2300 0.5000 0.9893



# 19
DFT (GGA-PBE) results for Tl2Hg2Au after structural relaxation.

- crystal system = tetragonal

abc: 4.8083 4.8083 24.5299
angles: 90.00 90.00 90.00
Space group I4_1/amd (No. 141, origin choice 2)
Unique sites:
Tl: 0.0000 0.2500 0.0517
Hg: 0.0000 0.2500 0.1964
Au: 0.0000 0.2500 0.3750



# 20
DFT (GGA-PBE) results for Tl8HgAu4 after structural relaxation.

- crystal system = cubic

abc: 7.1772 7.1772 7.1772
angles: 90.00 90.00 90.00
Space group Pm-3m (No. 221)
Unique sites:
Tl: 0.2437 0.2437 0.2437
Hg: 0.5000 0.5000 0.5000
Au: 0.0000 0.0000 0.0000
Au: 0.0000 0.5000 0.5000



# 21
DFT (GGA-PBE) results for Tl3Hg7Au2 after structural relaxation.

- crystal system = trigonal

abc: 6.2209 6.2209 29.0054
angles: 90.00 90.00 120.00
Space group R-3m (No. 166, hexagonal axes)
Unique sites:
Tl: 0.0000 0.0000 0.0000
Tl: 0.0000 0.0000 0.1443
Hg: 0.0000 0.0000 0.5000
Hg: 0.0056 0.5028 0.9192
Au: 0.0000 0.0000 0.3343



| no. | energy (eV per atom) | magnetic moment (μB/f.u.) |
| --- | --- | --- |
| 1 | -1.74 | 0.00 |
| 2 | -2.47 | 0.00 |
| 3 | -1.70 | 0.00 |
| 4 | -2.51 | 0.00 |
| 5 | -2.07 | 0.00 |
| 6 | -2.16 | 0.00 |
| 7 | -1.61 | 0.00 |
| 8 | -2.20 | 0.00 |
| 9 | -2.32 | 0.00 |
| 10 | -1.90 | 0.00 |
| 11 | -2.23 | 0.00 |
| 12 | -2.01 | 0.00 |
| 13 | -2.08 | 0.00 |
| 14 | -2.02 | 0.00 |
| 15 | -2.21 | 0.00 |
| 16 | -2.31 | 0.00 |
| 17 | -1.95 | 0.00 |
| 18 | -1.72 | 0.00 |
| 19 | -1.73 | 0.00 |
| 20 | -2.49 | 0.00 |
| 21 | -1.26 | 0.00 |